Computed, not measured: a relaxed structure of MgNi4O9 at the PBE+U level of DFT.

## Properties
- Electronic total energy: -67.4 eV/f.u.
- DOS at the Fermi energy: 3.20 states/eV/f.u.
- Magnetic moment: 6.00 μB/f.u.

CIF file:
```
data_MgNi4O9
_chemical_formula_sum 'Mg2 Ni8 O18'
_cell_length_a 5.444
_cell_length_b 8.145
_cell_length_c 8.266
_cell_angle_alpha 91.73
_cell_angle_beta 90.04
_cell_angle_gamma 90.06
_space_group_name_H-M_alt 'P -1'
_space_group_IT_number 2
loop_
_space_group_symop_operation_xyz
'x,y,z'
'-x,-y,-z'
loop_
_atom_site_label
_atom_site_type_symbol
_atom_site_fract_x
_atom_site_fract_y
_atom_site_fract_z
Mg1 Mg 0.215 0.250 0.250
Ni1 Ni 0.434 0.027 0.662
Ni2 Ni 0.434 0.473 0.838
Ni3 Ni 0.449 0.665 0.468
Ni4 Ni 0.449 0.835 0.031
O1 O 0.124 0.616 0.833
O2 O 0.124 0.883 0.667
O3 O 0.129 0.734 0.591
O4 O 0.129 0.765 0.909
O5 O 0.383 0.143 0.457
O6 O 0.383 0.357 0.043
O7 O 0.404 0.047 0.143
O8 O 0.405 0.453 0.357
O9 O 0.489 0.750 0.250
```